## ZrSiOs3 (GGA-PBE)

Data for crystalline ZrSiOs3 at its relaxed geometry.

Geometry as POSCAR:
```
ZrSiOs3
1.0
-1.094 -4.259 0.008
3.518 -0.908 -2.476
2.400 -0.609 3.634
Zr Si Os
1 1 3
direct
0.500 0.500 0.500
0.000 0.000 0.000
0.000 0.500 0.000
0.500 0.000 0.000
0.000 0.000 0.500
```

Summary:
DOS(E_F) = 0.31 states/eV per atom
formation energy (no corrections) = 370 meV/atom
total magnetic moment = 0.00 μB/f.u.